[1]
First-principles (PBE) data for Mg8TlCd5 after structural relaxation, as listed in Alexandria via LeMat-Bulk.

Cell lengths 7.527, 7.527, 7.527 Å; angles 110.18, 108.06, 110.18 degrees
Fractional coordinates of all 14 atoms:
Mg1 0.150 0.734 0.072
Mg2 0.928 0.078 0.662
Mg3 0.740 0.256 0.341
Mg4 0.659 0.399 0.915
Mg5 0.517 0.601 0.260
Mg6 0.584 0.922 0.850
Mg7 0.338 0.266 0.416
Mg8 0.085 0.744 0.483
Tl1 0.250 0.500 0.750
Cd1 0.033 0.336 0.135
Cd2 0.865 0.898 0.201
Cd3 0.799 0.664 0.697
Cd4 0.500 0.000 0.500
Cd5 0.303 0.102 0.967

DOS(E_F): 5.13 states/eV/cell
V: 23.43 Å³/atom
final energy: -1.436 eV per atom

=====

[2]
First-principles (PBE) data for Tc4RuRh after structural relaxation, as listed in Alexandria via LeMat-Bulk.

Cell lengths 5.047, 5.047, 5.047 Å; angles 60.00, 60.00, 60.00 degrees
Fractional coordinates of all 6 atoms:
Tc1 0.874 0.375 0.375
Tc2 0.375 0.375 0.874
Tc3 0.375 0.874 0.375
Tc4 0.375 0.375 0.375
Ru1 0.000 0.000 0.000
Rh1 0.750 0.750 0.750

offset from the most stable computed form: 230 meV per atom
DOS(E_F): 6.46 states/eV/cell
V: 15.15 Å³/atom

=====

[3]
First-principles (PBE) data for InTe2PN after structural relaxation, as listed in Alexandria via LeMat-Bulk.

Cell lengths 5.754, 5.754, 4.031 Å; angles 90.00, 90.00, 90.00 degrees
Site moments in Bohr magnetons follow the coordinates.
Fractional coordinates of all 5 atoms:
P1 0.500 0.500 0.500  -0.04
N1 0.000 0.000 0.500  0.85
Te1 0.000 0.500 0.000  0.15
Te2 0.500 0.000 0.000  0.15
In1 0.000 0.000 0.000  -0.02

energy relative to the elements, uncorrected: 120.52 kJ/mol of atoms
offset from the most stable computed form: 878 meV per atom
DOS(E_F): 4.14 states/eV/cell
V: 26.69 Å³/atom

=====

[4]
First-principles (PBE) data for ZnInGe2O6 after structural relaxation, as listed in Alexandria via LeMat-Bulk.

Cell lengths 5.757, 7.215, 7.215 Å; angles 87.18, 75.39, 75.39 degrees
Fractional coordinates of all 20 atoms:
Zn1 0.250 0.231 0.769
Zn2 0.750 0.769 0.231
In1 0.250 0.891 0.109
In2 0.750 0.109 0.891
Ge1 0.287 0.775 0.610
Ge2 0.213 0.390 0.225
Ge3 0.713 0.225 0.390
Ge4 0.787 0.610 0.775
O1 0.165 0.961 0.794
O2 0.335 0.206 0.039
O3 0.835 0.039 0.206
O4 0.665 0.794 0.961
O5 0.404 0.850 0.374
O6 0.096 0.626 0.150
O7 0.596 0.150 0.626
O8 0.904 0.374 0.850
O9 0.032 0.678 0.598
O10 0.468 0.402 0.322
O11 0.968 0.322 0.402
O12 0.532 0.598 0.678

energy relative to the elements, uncorrected: -140.66 kJ/mol of atoms
DOS(E_F): 1.72 states/eV/cell
V: 14.03 Å³/atom

=====

[5]
First-principles (PBE) data for Li2ZrScB after structural relaxation, as listed in Alexandria via LeMat-Bulk.

Cell lengths 4.341, 4.708, 4.341 Å; angles 90.00, 90.00, 90.00 degrees
Site moments in Bohr magnetons follow the coordinates.
Fractional coordinates of all 5 atoms:
Sc1 0.500 0.500 0.500  0.26
B1 0.000 0.000 0.000  0.01
Zr1 0.000 0.500 0.000  0.22
Li1 0.000 0.000 0.500  0.00
Li2 0.500 0.000 0.000  0.00

DOS(E_F): 3.66 states/eV/cell
V: 17.75 Å³/atom
final energy: -4.766 eV per atom